## CoP2O2 (PBE+U)

Data for a relaxed structure of CoP2O2.

Summary:
E_tot	-22.8	eV/cell
volume	66.22	Å³ per cell

```
data_CoP2O2
_symmetry_space_group_name_H-M 'P 4/m m m'
_symmetry_Int_Tables_number 123
_symmetry_space_group_name_Hall '-P 4 2'
_cell_length_a 4.4123
_cell_length_b 4.4123
_cell_length_c 3.4013
_cell_angle_alpha 90.00
_cell_angle_beta 90.00
_cell_angle_gamma 90.00
loop_
_atom_site_label
_atom_site_fract_x
_atom_site_fract_y
_atom_site_fract_z
Co1 0.0000 0.0000 0.0000
P1 0.0000 0.5000 0.0000
O1 0.0000 0.0000 0.5000
O2 0.5000 0.5000 0.5000
```